[1]
Entry from Alexandria: a relaxed K5PdAuO2 crystal (GGA-PBE).

DOS at the Fermi energy, states/eV per cell: 11.57
V, Å³/f.u.: 268
Energy, eV for the cell shown: -30.633
Formation energy without anion corrections, eV per atom: -0.751

Cell: 5.3712 5.3712 9.2737 Å, 90.00 90.00 90.00°
Last column: nearest neighbours and their distance in Å.
Space group P4/mmm (No. 123)
Asymmetric unit:
K 0.0000 0.0000 0.0000 x1  2 O 2.56
K 0.0000 0.5000 0.2878 x4  2 O 2.69
Pd 0.0000 0.0000 0.5000 x1  2 O 2.07
Au 0.5000 0.5000 0.0000 x1  12 K 3.79-3.80
O 0.0000 0.0000 0.2765 x2  1 Pd 2.07

[2]
Entry from Alexandria: a relaxed HoBr3N crystal (GGA-PBE).

DOS at the Fermi energy, states/eV per cell: 0.00
V, Å³/f.u.: 194
Energy, eV for the cell shown: -40.563
Formation energy without anion corrections, eV per atom: -0.472

Cell: 7.2411 7.2502 9.1648 Å, 72.42 70.96 60.06°
Last column: nearest neighbours and their distance in Å.
Space group P1 (No. 1)
Asymmetric unit:
Ho 0.0000 0.0000 0.0000 x1  6 Br 2.80-2.81
Ho 0.3289 0.3344 0.9996 x1  6 Br 2.80-2.81
Br 0.0896 0.3419 0.8103 x1  2 Ho 2.80
Br 0.2394 0.9925 0.1893 x1  2 Ho 2.80
Br 0.3524 0.7110 0.8116 x1  2 Ho 2.80-2.81
Br 0.6089 0.2533 0.1874 x1  2 Ho 2.81
Br 0.7200 0.0810 0.8123 x1  2 Ho 2.81
Br 0.9764 0.6234 0.1879 x1  2 Ho 2.80-2.81
N 0.5112 0.5071 0.4712 x1  3 Br 3.32-3.72
N 0.8215 0.8276 0.5277 x1  2 Br 3.32-3.46

[3]
Entry from Alexandria: a relaxed CsBiSb3 crystal (GGA-PBE).

DOS at the Fermi energy, states/eV per cell: 8.12
V, Å³/f.u.: 217
Energy, eV for the cell shown: -15.145
Energy above the most stable polymorph in this dataset, meV/atom: 0.0
Formation energy without anion corrections, eV per atom: 0.391

Cell: 6.0132 6.0132 6.0132 Å, 90.00 90.00 90.00°
Last column: nearest neighbours and their distance in Å.
Space group Pm-3m (No. 221)
Asymmetric unit:
Cs 0.0000 0.0000 0.0000 x1  12 Sb 4.25
Bi 0.5000 0.5000 0.5000 x1  6 Sb 3.01
Sb 0.0000 0.5000 0.5000 x3  2 Bi 3.01

[4]
Entry from Alexandria: a relaxed Cs2LiAu2 crystal (GGA-PBE).

DOS at the Fermi energy, states/eV per cell: 2.64
V, Å³/f.u.: 208
ΔE_f, eV/atom: -0.020
Energy, eV for the cell shown: -20.550
Energy above the most stable polymorph in this dataset, meV/atom: 272.1

Cell: 10.1714 10.1714 4.0122 Å, 90.00 90.00 90.00°
Last column: nearest neighbours and their distance in Å.
Space group P4/mbm (No. 127)
Asymmetric unit:
Cs 0.1366 0.3634 0.0000 x4  6 Au 3.51-3.66
Li 0.0000 0.0000 0.0000 x2  4 Cs 3.95, 2 Li 4.01, 8 Au 4.30
Au 0.1635 0.6635 0.5000 x4  6 Cs 3.51-3.66